No. 1
# CsIn3Pb2

CsIn3Pb2 after structural relaxation (GGA-PBE, the Alexandria database).

abc: 8.876 8.876 11.975
angles: 123.52 123.52 33.81
Sites, in units of the cell vectors:
Cs (0.117, 0.117, 0.487)
Cs (0.883, 0.883, 0.513)
In (0.064, 0.064, 0.918)
In (0.259, 0.259, 0.903)
In (0.433, 0.433, 0.842)
In (0.567, 0.567, 0.158)
In (0.741, 0.741, 0.097)
In (0.936, 0.936, 0.082)
Pb (0.197, 0.197, 0.235)
Pb (0.392, 0.392, 0.219)
Pb (0.608, 0.608, 0.781)
Pb (0.803, 0.803, 0.765)

Results
The total energy comes out at -34.0 eV for the cell shown. The value obtained for the magnetic moment is 0.000 μB/cell. As for the polymorph energy (0 for the lowest one): 0.0 meV/atom. The density of states at the Fermi level comes out at 2.0 states/eV/f.u.

No. 2
# Cs3In2Pb3

Cs3In2Pb3 after structural relaxation (GGA-PBE, the Alexandria database).

abc: 8.065 8.065 18.801
angles: 90.00 90.00 144.76
Sites, in units of the cell vectors:
Cs (0.052, 0.948, 0.602)
Cs (0.052, 0.948, 0.898)
Cs (0.365, 0.635, 0.750)
Cs (0.635, 0.365, 0.250)
Cs (0.948, 0.052, 0.102)
Cs (0.948, 0.052, 0.398)
In (0.243, 0.757, 0.113)
In (0.243, 0.757, 0.387)
In (0.757, 0.243, 0.613)
In (0.757, 0.243, 0.887)
Pb (0.332, 0.668, 0.535)
Pb (0.332, 0.668, 0.965)
Pb (0.350, 0.650, 0.250)
Pb (0.650, 0.350, 0.750)
Pb (0.668, 0.332, 0.035)
Pb (0.668, 0.332, 0.465)

Results
The total energy comes out at -40.7 eV for the cell shown. The value obtained for the magnetic moment is 0.000 μB/cell. As for the polymorph energy (0 for the lowest one): 0.0 meV/atom. The density of states at the Fermi level comes out at 2.9 states/eV/f.u.

No. 3
# Cs2In2Pb

Cs2In2Pb after structural relaxation (GGA-PBE, the Alexandria database).

abc: 8.156 8.156 6.528
angles: 90.00 90.00 90.00
Sites, in units of the cell vectors:
Cs (0.182, 0.318, 0.000)
Cs (0.318, 0.818, 0.000)
Cs (0.682, 0.182, 0.000)
Cs (0.818, 0.682, 0.000)
In (0.130, 0.630, 0.500)
In (0.370, 0.130, 0.500)
In (0.630, 0.870, 0.500)
In (0.870, 0.370, 0.500)
Pb (0.000, 0.000, 0.500)
Pb (0.500, 0.500, 0.500)

Results
The total energy comes out at -22.1 eV for the cell shown. The value obtained for the magnetic moment is 0.000 μB/cell. As for the polymorph energy (0 for the lowest one): 112.1 meV/atom. The density of states at the Fermi level comes out at 4.1 states/eV/f.u.

No. 4
# CsIn2Pb6

CsIn2Pb6 after structural relaxation (GGA-PBE, the Alexandria database).

abc: 5.166 5.166 11.707
angles: 90.00 90.00 90.00
Sites, in units of the cell vectors:
Cs (0.000, 0.000, 0.000)
In (0.500, 0.500, 0.133)
In (0.500, 0.500, 0.867)
Pb (0.000, 0.000, 0.500)
Pb (0.000, 0.500, 0.300)
Pb (0.000, 0.500, 0.700)
Pb (0.500, 0.000, 0.300)
Pb (0.500, 0.000, 0.700)
Pb (0.500, 0.500, 0.500)

Results
The total energy comes out at -28.9 eV for the cell shown. The value obtained for the magnetic moment is 0.000 μB/cell. The density of states at the Fermi level comes out at 4.7 states/eV/f.u.

No. 5
# Cs2In7Pb12

Cs2In7Pb12 after structural relaxation (GGA-PBE, the Alexandria database).

abc: 14.798 14.798 3.594
angles: 90.00 90.00 120.00
Sites, in units of the cell vectors:
Cs (0.333, 0.667, 0.245)
Cs (0.667, 0.333, 0.755)
In (0.000, 0.000, 0.500)
In (0.128, 0.413, 0.740)
In (0.286, 0.872, 0.740)
In (0.413, 0.286, 0.260)
In (0.587, 0.714, 0.740)
In (0.714, 0.128, 0.260)
In (0.872, 0.587, 0.260)
Pb (0.072, 0.621, 0.749)
Pb (0.078, 0.837, 0.230)
Pb (0.163, 0.241, 0.230)
Pb (0.241, 0.078, 0.770)
Pb (0.379, 0.452, 0.749)
Pb (0.452, 0.072, 0.251)
Pb (0.548, 0.928, 0.749)
Pb (0.621, 0.548, 0.251)
Pb (0.759, 0.922, 0.230)
Pb (0.837, 0.759, 0.770)
Pb (0.922, 0.163, 0.770)
Pb (0.928, 0.379, 0.251)

Results
The total energy comes out at -65.2 eV for the cell shown. The value obtained for the magnetic moment is 0.000 μB/cell. The density of states at the Fermi level comes out at 10.9 states/eV/f.u.

No. 6
# CsIn2Pb3

CsIn2Pb3 after structural relaxation (GGA-PBE, the Alexandria database).

abc: 11.066 11.066 11.066
angles: 160.72 107.76 75.58
Sites, in units of the cell vectors:
Cs (0.146, 0.146, 0.000)
Cs (0.854, 0.854, 0.000)
In (0.176, 0.500, 0.676)
In (0.339, 0.839, 0.500)
In (0.661, 0.161, 0.500)
In (0.824, 0.500, 0.324)
Pb (0.123, 0.329, 0.794)
Pb (0.374, 0.000, 0.374)
Pb (0.465, 0.671, 0.794)
Pb (0.535, 0.329, 0.206)
Pb (0.626, 0.000, 0.626)
Pb (0.877, 0.671, 0.206)

Results
The total energy comes out at -35.0 eV for the cell shown. The value obtained for the magnetic moment is 0.000 μB/cell. As for the polymorph energy (0 for the lowest one): 51.6 meV/atom. The density of states at the Fermi level comes out at 3.4 states/eV/f.u.

No. 7
# CsInPb

CsInPb after structural relaxation (GGA-PBE, the Alexandria database).

abc: 5.793 5.793 3.921
angles: 90.00 90.00 120.00
Sites, in units of the cell vectors:
Cs (0.000, 0.000, 0.000)
In (0.333, 0.667, 0.500)
Pb (0.667, 0.333, 0.500)

Results
The total energy comes out at -7.2 eV for the cell shown. The value obtained for the magnetic moment is 0.000 μB/cell. The density of states at the Fermi level comes out at 2.4 states/eV/f.u.

No. 8
# CsInPb

CsInPb after structural relaxation (GGA-PBE, the Alexandria database).

abc: 7.990 7.373 9.772
angles: 90.00 112.89 90.00
Sites, in units of the cell vectors:
Cs (0.174, 0.128, 0.360)
Cs (0.174, 0.372, 0.860)
Cs (0.826, 0.628, 0.140)
Cs (0.826, 0.872, 0.640)
In (0.430, 0.632, 0.304)
In (0.430, 0.868, 0.804)
In (0.570, 0.132, 0.196)
In (0.570, 0.368, 0.696)
Pb (0.267, 0.631, 0.540)
Pb (0.267, 0.869, 0.040)
Pb (0.733, 0.131, 0.960)
Pb (0.733, 0.369, 0.460)

Results
The total energy comes out at -30.6 eV for the cell shown. The value obtained for the magnetic moment is 0.000 μB/cell. The density of states at the Fermi level comes out at 1.2 states/eV/f.u.

No. 9
# CsIn3Pb

CsIn3Pb after structural relaxation (GGA-PBE, the Alexandria database).

abc: 6.110 6.110 6.110
angles: 90.00 90.00 90.00
Sites, in units of the cell vectors:
Cs (0.000, 0.000, 0.000)
In (0.000, 0.500, 0.500)
In (0.500, 0.000, 0.500)
In (0.500, 0.500, 0.000)
Pb (0.500, 0.500, 0.500)

Results
The total energy comes out at -11.7 eV for the cell shown. The value obtained for the magnetic moment is 0.000 μB/cell. As for the polymorph energy (0 for the lowest one): 336.3 meV/atom. The density of states at the Fermi level comes out at 4.5 states/eV/f.u.

No. 10
# CsInPb4

CsInPb4 after structural relaxation (GGA-PBE, the Alexandria database).

abc: 6.634 8.557 9.615
angles: 64.83 78.59 83.10
Sites, in units of the cell vectors:
Cs (0.250, 0.000, 0.250)
Cs (0.750, 0.000, 0.750)
In (0.000, 0.500, 0.000)
In (0.500, 0.500, 0.500)
Pb (0.103, 0.376, 0.405)
Pb (0.195, 0.295, 0.787)
Pb (0.305, 0.704, 0.713)
Pb (0.397, 0.624, 0.094)
Pb (0.603, 0.376, 0.906)
Pb (0.695, 0.296, 0.287)
Pb (0.805, 0.705, 0.213)
Pb (0.897, 0.624, 0.595)

Results
The total energy comes out at -37.4 eV for the cell shown. The value obtained for the magnetic moment is 0.000 μB/cell. As for the polymorph energy (0 for the lowest one): 0.0 meV/atom. The density of states at the Fermi level comes out at 1.8 states/eV/f.u.

No. 11
# Cs2In2Pb

Cs2In2Pb after structural relaxation (GGA-PBE, the Alexandria database).

abc: 7.592 7.592 8.872
angles: 90.00 90.00 72.41
Sites, in units of the cell vectors:
Cs (0.195, 0.195, 0.000)
Cs (0.195, 0.195, 0.500)
Cs (0.805, 0.805, 0.000)
Cs (0.805, 0.805, 0.500)
In (0.354, 0.646, 0.593)
In (0.354, 0.646, 0.907)
In (0.646, 0.354, 0.093)
In (0.646, 0.354, 0.407)
Pb (0.309, 0.691, 0.250)
Pb (0.691, 0.309, 0.750)

Results
The total energy comes out at -22.5 eV for the cell shown. The value obtained for the magnetic moment is 0.000 μB/cell. As for the polymorph energy (0 for the lowest one): 74.5 meV/atom. The density of states at the Fermi level comes out at 2.8 states/eV/f.u.

No. 12
# CsIn4Pb6

CsIn4Pb6 after structural relaxation (GGA-PBE, the Alexandria database).

abc: 9.151 9.151 5.109
angles: 90.00 90.00 120.00
Sites, in units of the cell vectors:
Cs (0.000, 0.000, 0.000)
In (0.333, 0.667, 0.000)
In (0.417, 0.209, 0.500)
In (0.791, 0.209, 0.500)
In (0.791, 0.583, 0.500)
Pb (0.205, 0.409, 0.500)
Pb (0.205, 0.795, 0.500)
Pb (0.530, 0.061, 0.000)
Pb (0.530, 0.470, 0.000)
Pb (0.591, 0.795, 0.500)
Pb (0.939, 0.470, 0.000)

Results
The total energy comes out at -34.2 eV for the cell shown. The value obtained for the magnetic moment is 0.000 μB/cell. The density of states at the Fermi level comes out at 5.0 states/eV/f.u.

No. 13
# CsIn2Pb4

CsIn2Pb4 after structural relaxation (GGA-PBE, the Alexandria database).

abc: 6.937 6.937 6.372
angles: 116.86 116.86 69.38
Sites, in units of the cell vectors:
Cs (0.000, 0.000, 0.000)
In (0.499, 0.499, 0.760)
In (0.501, 0.501, 0.240)
Pb (0.027, 0.612, 0.320)
Pb (0.388, 0.973, 0.680)
Pb (0.612, 0.027, 0.320)
Pb (0.973, 0.388, 0.680)

Results
The total energy comes out at -21.4 eV for the cell shown. The value obtained for the magnetic moment is 0.000 μB/cell. As for the polymorph energy (0 for the lowest one): 6.0 meV/atom. The density of states at the Fermi level comes out at 2.4 states/eV/f.u.

No. 14
# CsInPb4

CsInPb4 after structural relaxation (GGA-PBE, the Alexandria database).

abc: 5.631 5.631 8.389
angles: 90.00 90.00 120.00
Sites, in units of the cell vectors:
Cs (0.000, 0.000, 0.000)
In (0.000, 0.000, 0.500)
Pb (0.333, 0.667, 0.315)
Pb (0.333, 0.667, 0.685)
Pb (0.667, 0.333, 0.315)
Pb (0.667, 0.333, 0.685)

Results
The total energy comes out at -18.7 eV for the cell shown. The value obtained for the magnetic moment is 0.000 μB/cell. As for the polymorph energy (0 for the lowest one): 9.6 meV/atom. The density of states at the Fermi level comes out at 2.7 states/eV/f.u.

No. 15
# CsIn4Pb2

CsIn4Pb2 after structural relaxation (GGA-PBE, the Alexandria database).

abc: 10.229 10.229 10.229
angles: 30.83 30.83 30.83
Sites, in units of the cell vectors:
Cs (0.000, 0.000, 0.000)
In (0.140, 0.140, 0.140)
In (0.447, 0.447, 0.447)
In (0.553, 0.553, 0.553)
In (0.860, 0.860, 0.860)
Pb (0.247, 0.247, 0.247)
Pb (0.753, 0.753, 0.753)

Results
The total energy comes out at -19.6 eV for the cell shown. The value obtained for the magnetic moment is 0.000 μB/cell. As for the polymorph energy (0 for the lowest one): 0.0 meV/atom. The density of states at the Fermi level comes out at 4.2 states/eV/f.u.

No. 16
# Cs2In6Pb3

Cs2In6Pb3 after structural relaxation (GGA-PBE, the Alexandria database).

abc: 9.323 9.323 4.941
angles: 90.00 90.00 98.37
Sites, in units of the cell vectors:
Cs (0.218, 0.782, 0.000)
Cs (0.782, 0.218, 0.000)
In (0.116, 0.116, 0.500)
In (0.140, 0.437, 0.500)
In (0.437, 0.140, 0.500)
In (0.563, 0.860, 0.500)
In (0.860, 0.563, 0.500)
In (0.884, 0.884, 0.500)
Pb (0.296, 0.296, 0.000)
Pb (0.500, 0.500, 0.500)
Pb (0.704, 0.704, 0.000)

Results
The total energy comes out at -29.6 eV for the cell shown. The value obtained for the magnetic moment is 0.000 μB/cell. The density of states at the Fermi level comes out at 7.0 states/eV/f.u.

No. 17
# CsIn3Pb

CsIn3Pb after structural relaxation (GGA-PBE, the Alexandria database).

abc: 7.813 7.813 7.087
angles: 90.00 90.00 120.00
Sites, in units of the cell vectors:
Cs (0.333, 0.667, 0.250)
Cs (0.667, 0.333, 0.750)
In (0.198, 0.396, 0.750)
In (0.198, 0.802, 0.750)
In (0.396, 0.198, 0.250)
In (0.604, 0.802, 0.750)
In (0.802, 0.198, 0.250)
In (0.802, 0.604, 0.250)
Pb (0.000, 0.000, 0.000)
Pb (0.000, 0.000, 0.500)

Results
The total energy comes out at -25.2 eV for the cell shown. The value obtained for the magnetic moment is 0.000 μB/cell. As for the polymorph energy (0 for the lowest one): 153.8 meV/atom. The density of states at the Fermi level comes out at 3.1 states/eV/f.u.

No. 18
# CsIn6Pb4

CsIn6Pb4 after structural relaxation (GGA-PBE, the Alexandria database).

abc: 9.601 9.601 4.651
angles: 90.00 90.00 120.00
Sites, in units of the cell vectors:
Cs (0.000, 0.000, 0.000)
In (0.047, 0.524, 0.000)
In (0.398, 0.199, 0.500)
In (0.476, 0.524, 0.000)
In (0.476, 0.953, 0.000)
In (0.801, 0.199, 0.500)
In (0.801, 0.602, 0.500)
Pb (0.210, 0.420, 0.500)
Pb (0.210, 0.790, 0.500)
Pb (0.580, 0.790, 0.500)
Pb (0.667, 0.333, 0.000)

Results
The total energy comes out at -32.0 eV for the cell shown. The value obtained for the magnetic moment is 0.000 μB/cell. The density of states at the Fermi level comes out at 5.6 states/eV/f.u.

No. 19
# CsInPb

CsInPb after structural relaxation (GGA-PBE, the Alexandria database).

abc: 8.271 8.271 8.271
angles: 153.21 153.21 38.25
Sites, in units of the cell vectors:
Cs (0.000, 0.000, 0.000)
In (0.315, 0.315, 0.000)
Pb (0.692, 0.692, 0.000)

Results
The total energy comes out at -7.4 eV for the cell shown. The value obtained for the magnetic moment is 0.000 μB/cell. The density of states at the Fermi level comes out at 3.1 states/eV/f.u.

No. 20
# Cs3In2Pb3

Cs3In2Pb3 after structural relaxation (GGA-PBE, the Alexandria database).

abc: 6.620 6.620 18.515
angles: 90.00 90.00 123.22
Sites, in units of the cell vectors:
Cs (0.026, 0.974, 0.750)
Cs (0.164, 0.836, 0.540)
Cs (0.164, 0.836, 0.960)
Cs (0.836, 0.164, 0.040)
Cs (0.836, 0.164, 0.460)
Cs (0.974, 0.026, 0.250)
In (0.272, 0.728, 0.169)
In (0.272, 0.728, 0.331)
In (0.728, 0.272, 0.669)
In (0.728, 0.272, 0.831)
Pb (0.341, 0.659, 0.750)
Pb (0.483, 0.517, 0.603)
Pb (0.483, 0.517, 0.897)
Pb (0.517, 0.483, 0.103)
Pb (0.517, 0.483, 0.397)
Pb (0.659, 0.341, 0.250)

Results
The total energy comes out at -38.7 eV for the cell shown. The value obtained for the magnetic moment is 0.000 μB/cell. As for the polymorph energy (0 for the lowest one): 122.1 meV/atom. The density of states at the Fermi level comes out at 4.7 states/eV/f.u.

No. 21
# Cs2In3Pb6

Cs2In3Pb6 after structural relaxation (GGA-PBE, the Alexandria database).

abc: 9.269 9.269 5.661
angles: 90.00 90.00 120.00
Sites, in units of the cell vectors:
Cs (0.333, 0.667, 0.000)
Cs (0.667, 0.333, 0.000)
In (0.000, 0.382, 0.500)
In (0.382, 0.000, 0.500)
In (0.618, 0.618, 0.500)
Pb (0.000, 0.199, 0.000)
Pb (0.000, 0.728, 0.500)
Pb (0.199, 0.000, 0.000)
Pb (0.272, 0.272, 0.500)
Pb (0.728, 0.000, 0.500)
Pb (0.801, 0.801, 0.000)

Results
The total energy comes out at -32.8 eV for the cell shown. The value obtained for the magnetic moment is 0.000 μB/cell. The density of states at the Fermi level comes out at 4.8 states/eV/f.u.

No. 22
# Cs3InPb2

Cs3InPb2 after structural relaxation (GGA-PBE, the Alexandria database).

abc: 7.845 7.845 15.580
angles: 90.89 90.89 38.95
Sites, in units of the cell vectors:
Cs (0.130, 0.130, 0.030)
Cs (0.342, 0.342, 0.418)
Cs (0.349, 0.349, 0.740)
Cs (0.651, 0.651, 0.260)
Cs (0.658, 0.658, 0.582)
Cs (0.870, 0.870, 0.970)
In (0.065, 0.065, 0.752)
In (0.935, 0.935, 0.248)
Pb (0.052, 0.052, 0.419)
Pb (0.391, 0.391, 0.155)
Pb (0.609, 0.609, 0.845)
Pb (0.948, 0.948, 0.581)

Results
The total energy comes out at -26.9 eV for the cell shown. The value obtained for the magnetic moment is 0.000 μB/cell. The density of states at the Fermi level comes out at 3.3 states/eV/f.u.